1.
Compound: Sr2PdPt2
Source: the Alexandria database
Functional: SCAN
Structure: single point on PBEsol structure

Values from the calculation:
- total magnetization (μB/atom) = 0.070
- total energy (eV per atom) = -44.07
- calculated volume (Å³ per cell) = 127.7
- symmetry = I4/mmm, No. 139

Lattice parameters (Å, degrees): 5.5960 5.5960 5.5960 93.86 117.80 117.80
Last column: magnetic moment on the atom in μB.
Fractional coordinates of all 5 atoms:
Sr 0.5000 0.7500 0.2500  -0.01
Sr 0.5000 0.2500 0.7500  -0.01
Pd 0.0000 0.0000 0.0000  0.17
Pt 0.0000 0.6645 0.6645  0.14
Pt 0.0000 0.3355 0.3355  0.14



2.
Compound: MoN2O2
Source: the Alexandria database
Functional: SCAN
Structure: single point on PBEsol structure

Values from the calculation:
- total magnetization (μB/atom) = 0.801
- total energy (eV per atom) = -12.61
- calculated volume (Å³ per cell) = 58.9
- symmetry = P4/mmm, No. 123

Lattice parameters (Å, degrees): 3.8042 3.9337 3.9337 90.00 90.00 90.00
Last column: magnetic moment on the atom in μB.
Fractional coordinates of all 5 atoms:
Mo 0.0000 0.0000 0.0000  -0.77
O 0.5000 0.5000 0.5000  1.55
O 0.5000 0.0000 0.0000  0.39
N 0.0000 0.0000 0.5000  0.88
N 0.0000 0.5000 0.0000  0.88



3.
Compound: Cr2AgRh
Source: the Alexandria database
Functional: SCAN
Structure: single point on PBEsol structure

Values from the calculation:
- total magnetization (μB/atom) = 0.499
- total energy (eV per atom) = -25.11
- calculated volume (Å³ per cell) = 52.8
- symmetry = P4/mmm, No. 123

Lattice parameters (Å, degrees): 2.6098 2.6098 7.7556 90.00 90.00 90.00
Last column: magnetic moment on the atom in μB.
Fractional coordinates of all 4 atoms:
Ag 0.5000 0.5000 0.5000  0.04
Cr 0.0000 0.0000 0.7680  0.99
Cr 0.0000 0.0000 0.2320  0.99
Rh 0.5000 0.5000 0.0000  -0.11



4.
Compound: TlRu3Br
Source: the Alexandria database
Functional: SCAN
Structure: single point on PBEsol structure

Values from the calculation:
- total magnetization (μB/atom) = 0.391
- total energy (eV per atom) = -37.71
- calculated volume (Å³ per cell) = 92.0
- symmetry = Pm-3m, No. 221

Lattice parameters (Å, degrees): 4.5140 4.5140 4.5140 90.00 90.00 90.00
Last column: magnetic moment on the atom in μB.
Fractional coordinates of all 5 atoms:
Ru 0.0000 0.5000 0.0000  0.68
Ru 0.0000 0.0000 0.5000  0.68
Ru 0.5000 0.0000 0.0000  0.68
Tl 0.5000 0.5000 0.5000  -0.02
Br 0.0000 0.0000 0.0000  0.03



5.
Compound: Cr11W5
Source: the Alexandria database
Functional: SCAN
Structure: single point on PBEsol structure

Values from the calculation:
- total magnetization (μB/atom) = 0.005
- total energy (eV per atom) = -34.41
- calculated volume (Å³ per cell) = 203.5
- symmetry = Pm, No. 6

Lattice parameters (Å, degrees): 5.8751 5.8811 5.8898 90.00 90.42 90.00
Last column: magnetic moment on the atom in μB.
Fractional coordinates of all 16 atoms:
Cr 0.9963 0.0000 0.9925  -1.75
Cr 0.9974 0.0000 0.5069  -1.98
Cr 0.7518 0.2537 0.2464  1.71
Cr 0.7534 0.2536 0.7546  1.44
Cr 0.2473 0.2527 0.7518  1.72
Cr 0.9923 0.5000 0.9956  -1.67
Cr 0.5064 0.5000 0.9939  -1.77
Cr 0.5026 0.5000 0.5071  -1.98
Cr 0.7518 0.7463 0.2464  1.71
Cr 0.7534 0.7464 0.7546  1.44
Cr 0.2473 0.7473 0.7518  1.72
W 0.5092 0.0000 0.9935  -0.51
W 0.5096 0.0000 0.5052  -0.56
W 0.2453 0.2530 0.2453  0.54
W 0.9907 0.5000 0.5090  -0.47
W 0.2453 0.7470 0.2453  0.54



6.
Compound: TeAs2RhSe
Source: the Alexandria database
Functional: SCAN
Structure: single point on PBEsol structure

Values from the calculation:
- total magnetization (μB/atom) = 0.000
- total energy (eV per atom) = -25.93
- calculated volume (Å³ per cell) = 110.8
- symmetry = P4/mmm, No. 123

Lattice parameters (Å, degrees): 4.6688 4.6688 5.0834 90.00 90.00 90.00
Fractional coordinates of all 5 atoms:
As 0.0000 0.5000 0.0000
As 0.5000 0.0000 0.0000
Te 0.5000 0.5000 0.5000
Rh 0.0000 0.0000 0.0000
Se 0.0000 0.0000 0.5000



7.
Compound: PbWN3
Source: the Alexandria database
Functional: SCAN
Structure: single point on PBEsol structure

Values from the calculation:
- total magnetization (μB/atom) = 0.000
- total energy (eV per atom) = -34.42
- calculated volume (Å³ per cell) = 64.7
- symmetry = Pm-3m, No. 221

Lattice parameters (Å, degrees): 4.0135 4.0135 4.0135 90.00 90.00 90.00
Fractional coordinates of all 5 atoms:
Pb 0.5000 0.5000 0.5000
W 0.0000 0.0000 0.0000
N 0.0000 0.5000 0.0000
N 0.0000 0.0000 0.5000
N 0.5000 0.0000 0.0000



8.
Compound: CoS2NCl
Source: the Alexandria database
Functional: SCAN
Structure: single point on PBEsol structure

Values from the calculation:
- total magnetization (μB/atom) = 0.164
- total energy (eV per atom) = -9.92
- calculated volume (Å³ per cell) = 72.6
- symmetry = P4/mmm, No. 123

Lattice parameters (Å, degrees): 3.3426 4.6596 4.6596 90.00 90.00 90.00
Last column: magnetic moment on the atom in μB.
Fractional coordinates of all 5 atoms:
S 0.0000 0.0000 0.5000  0.22
S 0.0000 0.5000 0.0000  0.22
N 0.5000 0.0000 0.0000  0.01
Co 0.0000 0.0000 0.0000  0.03
Cl 0.5000 0.5000 0.5000  0.13



9.
Compound: InSiMo2
Source: the Alexandria database
Functional: SCAN
Structure: single point on PBEsol structure

Values from the calculation:
- total magnetization (μB/atom) = 0.000
- total energy (eV per atom) = -27.86
- polymorph energy (0 for the lowest one) (eV per atom) = 0.375
- calculated volume (Å³ per cell) = 63.2
- symmetry = F-43m, No. 216

Lattice parameters (Å, degrees): 4.4711 4.4711 4.4711 60.00 60.00 60.00
Fractional coordinates of all 4 atoms:
In 0.5000 0.5000 0.5000
Mo 0.0000 0.0000 0.0000
Mo 0.7500 0.7500 0.7500
Si 0.2500 0.2500 0.2500



10.
Compound: BeBAs2Br
Source: the Alexandria database
Functional: SCAN
Structure: single point on PBEsol structure

Values from the calculation:
- total magnetization (μB/atom) = 0.161
- total energy (eV per atom) = -13.13
- calculated volume (Å³ per cell) = 86.3
- symmetry = P4/mmm, No. 123

Lattice parameters (Å, degrees): 4.2872 4.2872 4.6976 90.00 90.00 90.00
Last column: magnetic moment on the atom in μB.
Fractional coordinates of all 5 atoms:
Be 0.5000 0.5000 0.5000  0.02
As 0.0000 0.5000 0.0000  -0.18
As 0.5000 0.0000 0.0000  -0.18
B 0.0000 0.0000 0.0000  -0.03
Br 0.0000 0.0000 0.5000  -0.11



11.
Compound: Mn2NbSiMo
Source: the Alexandria database
Functional: SCAN
Structure: single point on PBEsol structure

Values from the calculation:
- total magnetization (μB/atom) = 1.194
- total energy (eV per atom) = -21.58
- calculated volume (Å³ per cell) = 92.5
- symmetry = P4/mmm, No. 123

Lattice parameters (Å, degrees): 4.3664 4.3664 4.8538 90.00 90.00 90.00
Last column: magnetic moment on the atom in μB.
Fractional coordinates of all 5 atoms:
Mo 0.0000 0.0000 0.0000  -0.71
Mn 0.0000 0.5000 0.0000  3.20
Mn 0.5000 0.0000 0.0000  3.20
Si 0.5000 0.5000 0.5000  -0.06
Nb 0.0000 0.0000 0.5000  0.16



12.
Compound: Tc5W
Source: the Alexandria database
Functional: SCAN
Structure: single point on PBEsol structure

Values from the calculation:
- total magnetization (μB/atom) = 0.000
- total energy (eV per atom) = -40.74
- polymorph energy (0 for the lowest one) (eV per atom) = 0.000
- calculated volume (Å³ per cell) = 85.7
- symmetry = Cm, No. 8

Lattice parameters (Å, degrees): 2.7371 5.1893 6.4787 104.48 90.00 105.29
Fractional coordinates of all 6 atoms:
Tc 0.9963 0.9926 0.0028
Tc 0.3911 0.7823 0.2814
Tc 0.6653 0.3306 0.3390
Tc 0.0535 0.1070 0.6047
Tc 0.3390 0.6780 0.6614
W 0.7215 0.4430 0.9440